Below is an optimized crystal structure of MgZn4Cl, with properties calculated at the PBE level.

a b c (Å): 5.413 5.413 5.413
angles (deg): 60.00 60.00 60.00
Fractional coordinates of all 6 atoms:
Cl (0.750, 0.750, 0.750)
Mg (0.000, 0.000, 0.000)
Zn (0.880, 0.373, 0.373)
Zn (0.373, 0.373, 0.880)
Zn (0.373, 0.880, 0.373)
Zn (0.373, 0.373, 0.373)

Its mass density is 4758 kg/m³. As for the total DFT energy (no corrections): -1.442 eV per atom. For the spin magnetization, the calculation gives 0.000 μB/cell.